# 1
The following is a DFT calculation (PBE) of an optimized crystal structure of CaZrV2Cu.

The calculation puts the density at 4636 kg/m³. The density of states at the Fermi level is 5.058 states/eV per cell. For the energy relative to the elements, the calculation gives 2.098 eV per atom.

Unit cell a=4.604 b=4.604 c=5.014 alpha=90.00 beta=90.00 gamma=90.00
Space group P4/mmm (No. 123)
One atom of each set of equivalent atoms:
1 Ca 0.000 0.000 0.000 x1
2 Zr 0.000 0.000 0.500 x1
3 V 0.000 0.500 0.000 x2
4 Cu 0.500 0.500 0.500 x1

---

# 2
The following is a DFT calculation (PBE) of an optimized crystal structure of DyGa3CoCu.

The calculation puts the density at 7754 kg/m³. The density of states at the Fermi level is 12.498 states/eV per cell. For the energy relative to the elements, the calculation gives -0.177 eV per atom.

Unit cell a=6.187 b=11.457 c=5.972 alpha=90.00 beta=90.00 gamma=90.00
Space group Cmcm (No. 63)
One atom of each set of equivalent atoms:
1 Dy 0.000 0.219 0.250 x4
2 Ga 0.000 0.326 0.750 x4
3 Ga 0.206 0.000 0.000 x8
4 Co 0.000 0.125 0.750 x4
5 Cu 0.000 0.459 0.250 x4

---

# 3
The following is a DFT calculation (PBE) of an optimized crystal structure of CsInSe2.

The calculation puts the density at 4596 kg/m³. The density of states at the Fermi level is 0.000 states/eV per cell. The value obtained for the formation energy (no corrections) is -0.92 eV per atom.

Unit cell a=4.282 b=7.882 c=17.366 alpha=90.00 beta=90.00 gamma=90.00
Space group Immm (No. 71)
One atom of each set of equivalent atoms:
1 Cs 0.000 0.000 0.136 x4
2 In 0.000 0.000 0.402 x4
3 Se 0.000 0.255 0.500 x4
4 Se 0.000 0.500 0.188 x4